Record 1
Here is a relaxed ScInMo2 crystal from Alexandria via LeMat-Bulk. Energies are from GGA-PBE.

Density of states at the Fermi level in states/eV/cell: 3.3
VASP energy in eV per atom: -7.605

a = 2.9604 Å, b = 4.3846 Å, c = 5.8576 Å
α = 90.00°, β = 102.10°, γ = 90.00°
With the nearest neighbours (Å) after each atom.
Space group Pm (No. 6)
Asymmetric unit:
Sc: 0.0000 0.0000 0.0000  3 Mo 2.77-2.90, 2 Sc 2.96, 2 In 3.05
In: 0.5936 0.5000 0.2760  6 Mo 2.88-3.17, 2 In 2.96, 4 Sc 3.05-3.11
Mo: 0.1382 0.0000 0.5462  2 Mo 2.60, 1 Sc 2.77
Mo: 0.4766 0.5000 0.7513  2 Mo 2.60, 1 In 2.88, 2 Sc 2.90


Record 2
Here is a relaxed LiYHoGe crystal from Alexandria via LeMat-Bulk. Energies are from GGA-PBE.

Density of states at the Fermi level in states/eV/cell: 9.2
VASP energy in eV per atom: -4.817

a = 7.0792 Å, b = 7.0792 Å, c = 7.0792 Å
α = 90.00°, β = 90.00°, γ = 90.00°
With the nearest neighbours (Å) after each atom.
Space group F-43m (No. 216)
Asymmetric unit:
Li: 0.0000 0.0000 0.0000  4 Ho 3.07, 4 Y 3.07
Y: 0.2500 0.2500 0.7500  4 Ge 3.07, 4 Li 3.07
Ho: 0.2500 0.2500 0.2500  4 Ge 3.07, 4 Li 3.07
Ge: 0.0000 0.0000 0.5000  4 Y 3.07, 4 Ho 3.07


Record 3
Here is a relaxed SiIr2Pb crystal from Alexandria via LeMat-Bulk. Energies are from GGA-PBE.

Formation energy (no corrections) in eV/atom: 0.370
Density of states at the Fermi level in states/eV/cell: 4.2
VASP energy in eV per atom: -6.344

a = 4.2697 Å, b = 4.2697 Å, c = 7.2661 Å
α = 90.00°, β = 90.00°, γ = 90.00°
With the nearest neighbours (Å) after each atom.
Space group I4/mmm (No. 139)
Asymmetric unit:
Si: 0.0000 0.0000 0.0000  8 Ir 2.80, 4 Pb 3.02
Ir: 0.0000 0.5000 0.2500  4 Pb 2.80, 4 Si 2.80, 4 Ir 3.02
Pb: 0.0000 0.0000 0.5000  8 Ir 2.80, 4 Si 3.02


Record 4
Here is a relaxed CaHoAgAu crystal from Alexandria via LeMat-Bulk. Energies are from GGA-PBE.

Density of states at the Fermi level in states/eV/cell: 14.0
VASP energy in eV per atom: -3.736

a = 7.2319 Å, b = 7.2319 Å, c = 7.2319 Å
α = 90.00°, β = 90.00°, γ = 90.00°
With the nearest neighbours (Å) after each atom.
Space group F-43m (No. 216)
Asymmetric unit:
Ca: 0.0000 0.0000 0.0000  4 Ag 3.13, 4 Au 3.13
Ho: 0.0000 0.0000 0.5000  4 Au 3.13, 4 Ag 3.13
Ag: 0.2500 0.2500 0.2500  4 Ho 3.13, 4 Ca 3.13
Au: 0.2500 0.2500 0.7500  4 Ho 3.13, 4 Ca 3.13


Record 5
Here is a relaxed Ca4Ac3Sn4 crystal from Alexandria via LeMat-Bulk. Energies are from GGA-PBE.

Density of states at the Fermi level in states/eV/cell: 10.9
VASP energy in eV per atom: -3.918

a = 4.7284 Å, b = 9.3608 Å, c = 17.3814 Å
α = 90.00°, β = 90.00°, γ = 90.00°
With the nearest neighbours (Å) after each atom.
Space group Immm (No. 71)
Asymmetric unit:
Ca: 0.0000 0.1910 0.1732  4 Sn 3.13-3.26
Ac: 0.0000 0.0000 0.3953  6 Sn 3.58-3.61, 1 Ac 3.64, 4 Ca 3.92
Ac: 0.0000 0.5000 0.5000  4 Sn 3.56
Sn: 0.0000 0.2837 0.0000  2 Ca 3.13
Sn: 0.0000 0.5000 0.2596  6 Ca 3.19-3.26


Record 6
Here is a relaxed Hg4AuI2O crystal from Alexandria via LeMat-Bulk. Energies are from GGA-PBE.

Formation energy (no corrections) in eV/atom: 0.009
Density of states at the Fermi level in states/eV/cell: 11.1
VASP energy in eV per atom: -1.559

a = 10.4425 Å, b = 12.6033 Å, c = 8.7414 Å
α = 90.00°, β = 124.17°, γ = 90.00°
With the nearest neighbours (Å) after each atom.
Space group C2/c (No. 15)
Asymmetric unit:
Hg: 0.0550 0.2248 0.0469  1 O 2.31
Hg: 0.1845 0.0789 0.8551  1 O 2.40
Au: 0.0000 0.0000 0.0000  6 Hg 2.76-3.01
I: 0.0000 0.5000 0.0000  2 Hg 2.96
I: 0.2500 0.2500 0.5000  4 Hg 2.99-3.30
O: 0.2500 0.2500 0.0000  4 Hg 2.31-2.40


Record 7
Here is a relaxed PmNd4Y2 crystal from Alexandria via LeMat-Bulk. Energies are from GGA-PBE.

Density of states at the Fermi level in states/eV/cell: 86.5
VASP energy in eV per atom: -5.193

a = 12.1037 Å, b = 24.5016 Å, c = 6.5259 Å
α = 90.00°, β = 90.00°, γ = 90.00°
With the nearest neighbours (Å) after each atom.
Space group Fdd2 (No. 43)
Asymmetric unit:
Pm: 0.0000 0.0000 0.0000  4 Y 3.49-3.66, 8 Nd 3.59-3.83
Nd: 0.0493 0.4286 0.9854  5 Nd 3.48-3.86, 4 Y 3.50-3.67, 2 Pm 3.67-3.83
Nd: 0.0643 0.3573 0.4592  6 Nd 3.48-3.86, 2 Pm 3.59-3.72, 3 Y 3.63-3.88
Y: 0.0265 0.2839 0.9364  2 Pm 3.49-3.66, 7 Nd 3.50-3.88, 2 Y 3.72


Record 8
Here is a relaxed PmRuF crystal from Alexandria via LeMat-Bulk. Energies are from GGA-PBE.

Formation energy (no corrections) in eV/atom: -1.731
Density of states at the Fermi level in states/eV/cell: 9.6
VASP energy in eV per atom: -7.030

a = 4.8363 Å, b = 6.2174 Å, c = 14.9653 Å
α = 90.00°, β = 90.00°, γ = 90.00°
With the nearest neighbours (Å) after each atom.
Space group Fmmm (No. 69)
Asymmetric unit:
Pm: 0.0000 0.0000 0.1440  4 F 2.53
Ru: 0.0000 0.1946 0.5000  3 Ru 2.42-2.51
F: 0.2500 0.2500 0.2500  2 F 2.42, 4 Pm 2.53


Record 9
Here is a relaxed KOs2PdPb crystal from Alexandria via LeMat-Bulk. Energies are from GGA-PBE.

Density of states at the Fermi level in states/eV/cell: 5.9
VASP energy in eV per atom: -4.518

a = 5.1419 Å, b = 5.1419 Å, c = 5.2306 Å
α = 90.00°, β = 90.00°, γ = 90.00°
With the nearest neighbours (Å) after each atom.
Space group P4/mmm (No. 123)
Asymmetric unit:
K: 0.0000 0.0000 0.0000  4 Pd 3.64, 8 Os 3.67
Os: 0.0000 0.5000 0.5000  2 Pb 2.57
Pd: 0.5000 0.5000 0.0000  2 Pb 2.62
Pb: 0.5000 0.5000 0.5000  4 Os 2.57, 2 Pd 2.62